[1]
PBE Pm5ZnNi2, optimized geometry; formation energy from the elements = -1.9 eV per formula unit; calculated total energy = -0.3532 Ry per atom; space-group type = No. 140; N(E_F) = 1.0629 states/eV/atom
1.0
-3.9449 3.9449 6.5071
3.9449 -3.9449 6.5071
3.9449 3.9449 -6.5071
Pm Zn Ni
10 2 4
direct
0.0000 0.0000 0.0000
0.0224 0.5224 0.8238
0.1986 0.0224 0.5000
0.3014 0.8014 0.8238
0.4776 0.3014 0.5000
0.5000 0.5000 0.0000
0.5224 0.6986 0.5000
0.6986 0.1986 0.1762
0.8014 0.9776 0.5000
0.9776 0.4776 0.1762
0.2500 0.2500 0.0000
0.7500 0.7500 0.0000
0.1200 0.3800 0.5000
0.3800 0.8800 0.2600
0.6200 0.1200 0.7400
0.8800 0.6200 0.5000

[2]
PBE Pm2Zn5Ni4, optimized geometry; formation energy from the elements = -3.6 eV per formula unit; calculated total energy = -0.2846 Ry per atom; space-group type = No. 69; N(E_F) = 0.5300 states/eV/atom
1.0
0.0000 4.5180 7.8133
2.5996 0.0000 7.8133
2.5996 4.5180 0.0000
Pm Zn Ni
2 5 4
direct
0.1415 0.1415 0.8585
0.8585 0.8585 0.1415
0.0000 0.0000 0.5000
0.2500 0.2500 0.2500
0.5000 0.5000 0.0000
0.5000 0.5000 0.5000
0.7500 0.7500 0.7500
0.2164 0.5267 0.4733
0.4733 0.7836 0.2164
0.5267 0.2164 0.7836
0.7836 0.4733 0.5267

[3]
PBE Pm2ZnNi2, optimized geometry; distance to the lowest polymorph of the same formula = 6 meV per atom; formation energy from the elements = -1.9 eV per formula unit; calculated total energy = -0.3560 Ry per atom; space-group type = No. 15; N(E_F) = 0.7924 states/eV/atom
1.0
4.7702 -2.7288 0.0000
4.7702 2.7288 0.0000
-2.0556 0.0000 7.5824
Pm Zn Ni
4 2 4
direct
0.0060 0.7005 0.8532
0.2995 0.9940 0.6468
0.7005 0.0060 0.3532
0.9940 0.2995 0.1468
0.3532 0.6468 0.2500
0.6468 0.3532 0.7500
0.2193 0.5020 0.4941
0.4980 0.7807 0.0059
0.5020 0.2193 0.9941
0.7807 0.4980 0.5059

[4]
PBE PmZn2Ni, optimized geometry; distance to the lowest polymorph of the same formula = 113 meV per atom; formation energy from the elements = -1.1 eV per formula unit; calculated total energy = -0.2607 Ry per atom; space-group type = No. 166; N(E_F) = 0.7488 states/eV/atom
1.0
2.0854 1.2040 5.0544
-2.0854 1.2040 5.0544
0.0000 -2.4080 5.0544
Pm Zn Ni
1 2 1
direct
0.0000 0.0000 0.0000
0.2060 0.2060 0.2060
0.7940 0.7940 0.7940
0.5000 0.5000 0.5000

[5]
PBE PmZn8Ni2, optimized geometry; formation energy from the elements = 1.3 eV per formula unit; calculated total energy = -0.1684 Ry per atom; space-group type = No. 123; N(E_F) = 0.4798 states/eV/atom
1.0
6.3175 0.0000 0.0000
0.0000 6.3175 0.0000
0.0000 0.0000 5.0936
Pm Zn Ni
1 8 2
direct
0.0000 0.0000 0.0000
0.2936 0.2936 0.2564
0.2936 0.2936 0.7436
0.2936 0.7064 0.2564
0.2936 0.7064 0.7436
0.7064 0.2936 0.2564
0.7064 0.2936 0.7436
0.7064 0.7064 0.2564
0.7064 0.7064 0.7436
0.0000 0.5000 0.5000
0.5000 0.0000 0.5000

[6]
PBE Pm2Zn5Ni5, optimized geometry; distance to the lowest polymorph of the same formula = 38 meV per atom; formation energy from the elements = -4.0 eV per formula unit; calculated total energy = -0.2988 Ry per atom; space-group type = No. 47; N(E_F) = 0.7482 states/eV/atom
1.0
4.0033 0.0000 0.0000
0.0000 5.2011 0.0000
0.0000 0.0000 9.0195
Pm Zn Ni
2 5 5
direct
0.0000 0.0000 0.0000
0.0000 0.5000 0.5000
0.0000 0.0000 0.3249
0.0000 0.0000 0.6751
0.0000 0.5000 0.1671
0.0000 0.5000 0.8329
0.5000 0.0000 0.5000
0.5000 0.2514 0.2470
0.5000 0.2514 0.7530
0.5000 0.5000 0.0000
0.5000 0.7486 0.2470
0.5000 0.7486 0.7530

[7]
PBE Pm3ZnNi3, optimized geometry; distance to the lowest polymorph of the same formula = 260 meV per atom; formation energy from the elements = -0.8 eV per formula unit; calculated total energy = -0.3534 Ry per atom; space-group type = No. 176; N(E_F) = 0.5803 states/eV/atom
1.0
8.3730 0.0000 0.0000
-4.1865 7.2513 0.0000
0.0000 0.0000 5.5190
Pm Zn Ni
6 2 6
direct
0.0537 0.3569 0.2500
0.3031 0.9463 0.2500
0.3569 0.3031 0.7500
0.6431 0.6969 0.2500
0.6969 0.0537 0.7500
0.9463 0.6431 0.7500
0.3333 0.6667 0.7500
0.6667 0.3333 0.2500
0.0533 0.3709 0.7500
0.3176 0.9467 0.7500
0.3709 0.3176 0.2500
0.6291 0.6824 0.7500
0.6824 0.0533 0.2500
0.9467 0.6291 0.2500

[8]
PBE Pm7Zn2Ni2, optimized geometry; formation energy from the elements = -1.2 eV per formula unit; calculated total energy = -0.3242 Ry per atom; space-group type = No. 65; N(E_F) = 1.0787 states/eV/atom
1.0
3.8616 -5.6191 0.0000
3.8616 5.6191 0.0000
0.0000 0.0000 7.0871
Pm Zn Ni
7 2 2
direct
0.0000 0.0000 0.0000
0.0000 0.5000 0.2568
0.0000 0.5000 0.7432
0.5000 0.0000 0.2568
0.5000 0.0000 0.7432
0.5000 0.5000 0.2497
0.5000 0.5000 0.7503
0.1635 0.1635 0.5000
0.8365 0.8365 0.5000
0.2999 0.7001 0.0000
0.7001 0.2999 0.0000